Arrangement i

{"formula": "V2Ru2Pt", "functional": "PBE-GGA", "state": "relaxed", "lattice": [[7.116, 0.000, 0.000], [0.000, 7.116, 0.000], [0.000, 0.000, 2.851]], "species": ["V", "V", "V", "V", "Ru", "Ru", "Ru", "Ru", "Pt", "Pt"], "frac_coords": [[0.161, 0.339, 0.000], [0.339, 0.839, 0.000], [0.661, 0.161, 0.000], [0.839, 0.661, 0.000], [0.137, 0.637, 0.500], [0.363, 0.137, 0.500], [0.637, 0.863, 0.500], [0.863, 0.363, 0.500], [0.000, 0.000, 0.500], [0.500, 0.500, 0.500]], "space_group": "P4/mbm, No. 127"}

=====

Arrangement ii

{"formula": "V2Ru2Pt", "functional": "PBE-GGA", "state": "relaxed", "lattice": [[2.151, 1.242, 4.388], [-2.151, 1.242, 4.388], [0.000, -2.484, 4.388]], "species": ["V", "V", "Ru", "Ru", "Pt"], "frac_coords": [[0.090, 0.090, 0.090], [0.910, 0.910, 0.910], [0.282, 0.282, 0.282], [0.718, 0.718, 0.718], [0.500, 0.500, 0.500]], "space_group": "R-3m, No. 166"}

=====

Pick arrangement ii: it beats the second-best structure by 3.4 kJ/mol of atoms.

=====

Arrangement i

{"formula": "V6Ru5Pt", "functional": "PBE-GGA", "state": "relaxed", "lattice": [[4.052, 0.000, 0.000], [0.000, 6.724, 0.000], [-2.017, 0.000, 6.104]], "species": ["V", "V", "V", "V", "V", "V", "Ru", "Ru", "Ru", "Ru", "Ru", "Pt"], "frac_coords": [[0.000, 0.237, 0.000], [0.000, 0.763, 0.000], [0.331, 0.247, 0.662], [0.331, 0.753, 0.662], [0.669, 0.247, 0.338], [0.669, 0.753, 0.338], [0.162, 0.500, 0.325], [0.168, 0.000, 0.335], [0.500, 0.000, 0.000], [0.832, 0.000, 0.665], [0.838, 0.500, 0.675], [0.500, 0.500, 0.000]], "space_group": "P2/m, No. 10"}

=====

Arrangement ii

{"formula": "V6Ru5Pt", "functional": "PBE-GGA", "state": "relaxed", "lattice": [[-2.034, 3.345, 6.106], [2.034, -3.345, 6.106], [2.034, 3.345, -6.106]], "species": ["V", "V", "V", "V", "V", "V", "Ru", "Ru", "Ru", "Ru", "Ru", "Pt"], "frac_coords": [[0.073, 0.331, 0.742], [0.234, 0.000, 0.234], [0.410, 0.669, 0.742], [0.590, 0.331, 0.258], [0.766, 0.000, 0.766], [0.927, 0.669, 0.258], [0.000, 0.500, 0.500], [0.175, 0.175, 0.000], [0.344, 0.844, 0.500], [0.656, 0.156, 0.500], [0.825, 0.825, 0.000], [0.500, 0.500, 0.000]], "space_group": "Immm, No. 71"}

=====

Pick arrangement ii: it beats the second-best structure by 0.9 kJ/mol of atoms.

=====

Arrangement i

{"formula": "V2RuPt2", "functional": "PBE-GGA", "state": "relaxed", "lattice": [[7.419, 0.000, 0.000], [0.000, 7.419, 0.000], [0.000, 0.000, 2.712]], "species": ["V", "V", "V", "V", "Ru", "Ru", "Pt", "Pt", "Pt", "Pt"], "frac_coords": [[0.170, 0.330, 0.000], [0.330, 0.830, 0.000], [0.670, 0.170, 0.000], [0.830, 0.670, 0.000], [0.000, 0.000, 0.500], [0.500, 0.500, 0.500], [0.129, 0.629, 0.500], [0.371, 0.129, 0.500], [0.629, 0.871, 0.500], [0.871, 0.371, 0.500]], "space_group": "P4/mbm, No. 127"}

=====

Arrangement ii

{"formula": "V2RuPt2", "functional": "PBE-GGA", "state": "relaxed", "lattice": [[4.278, -1.899, 0.000], [4.278, 1.899, 0.000], [-4.095, 0.000, 4.411]], "species": ["V", "V", "Ru", "Pt", "Pt"], "frac_coords": [[0.089, 0.089, 0.300], [0.911, 0.911, 0.700], [0.500, 0.500, 0.500], [0.302, 0.302, 0.891], [0.698, 0.698, 0.109]], "space_group": "C2/m, No. 12"}

=====

Pick arrangement ii: it beats the second-best structure by 18.1 kJ/mol of atoms.

=====

Arrangement i

{"formula": "RuPtW", "functional": "PBE-GGA", "state": "relaxed", "lattice": [[1.982, -5.764, 0.000], [1.982, 5.764, 0.000], [0.000, 0.000, 3.979]], "species": ["Ru", "Ru", "Pt", "Pt", "W", "W"], "frac_coords": [[0.248, 0.752, 0.750], [0.752, 0.248, 0.250], [0.080, 0.920, 0.250], [0.920, 0.080, 0.750], [0.403, 0.597, 0.250], [0.597, 0.403, 0.750]], "space_group": "Cmcm, No. 63"}

=====

Arrangement ii

{"formula": "RuPtW", "functional": "PBE-GGA", "state": "relaxed", "lattice": [[0.000, 2.987, 2.987], [2.987, 0.000, 2.987], [2.987, 2.987, 0.000]], "species": ["Ru", "Pt", "W"], "frac_coords": [[0.000, 0.000, 0.000], [0.500, 0.500, 0.500], [0.250, 0.250, 0.250]], "space_group": "F-43m, No. 216"}

=====

Pick arrangement i: it beats the second-best structure by 35.9 kJ/mol of atoms.

=====

Arrangement i

{"formula": "RuPtW3", "functional": "PBE-GGA", "state": "relaxed", "lattice": [[4.715, 0.000, 0.000], [0.000, 4.715, 0.000], [0.000, 0.000, 4.715]], "species": ["Ru", "Pt", "W", "W", "W"], "frac_coords": [[0.000, 0.000, 0.000], [0.500, 0.500, 0.500], [0.000, 0.500, 0.500], [0.500, 0.000, 0.500], [0.500, 0.500, 0.000]], "space_group": "Pm-3m, No. 221"}

=====

Arrangement ii

{"formula": "RuPtW3", "functional": "PBE-GGA", "state": "relaxed", "lattice": [[4.636, 0.000, 0.000], [0.000, 4.636, 0.000], [0.000, 0.000, 4.636]], "species": ["Ru", "Pt", "W", "W", "W"], "frac_coords": [[0.000, 0.000, 0.000], [0.500, 0.500, 0.500], [0.000, 0.000, 0.500], [0.000, 0.500, 0.000], [0.500, 0.000, 0.000]], "space_group": "Pm-3m, No. 221"}

=====

Pick arrangement ii: it beats the second-best structure by 50.6 kJ/mol of atoms.

=====

Arrangement i

{"formula": "Ru3PtW", "functional": "PBE-GGA", "state": "relaxed", "lattice": [[4.635, 0.000, 0.000], [0.000, 4.635, 0.000], [0.000, 0.000, 4.635]], "species": ["Ru", "Ru", "Ru", "Pt", "W"], "frac_coords": [[0.000, 0.000, 0.500], [0.000, 0.500, 0.000], [0.500, 0.000, 0.000], [0.000, 0.000, 0.000], [0.500, 0.500, 0.500]], "space_group": "Pm-3m, No. 221"}

=====

Arrangement ii

{"formula": "Ru3PtW", "functional": "PBE-GGA", "state": "relaxed", "lattice": [[4.636, 0.000, 0.000], [0.000, 4.636, 0.000], [0.000, 0.000, 4.636]], "species": ["Ru", "Ru", "Ru", "Pt", "W"], "frac_coords": [[0.000, 0.000, 0.500], [0.000, 0.500, 0.000], [0.500, 0.000, 0.000], [0.500, 0.500, 0.500], [0.000, 0.000, 0.000]], "space_group": "Pm-3m, No. 221"}

=====

Arrangement iii

{"formula": "Ru3PtW", "functional": "PBE-GGA", "state": "relaxed", "lattice": [[2.595, 1.498, 4.370], [-2.595, 1.498, 4.370], [0.000, -2.996, 4.370]], "species": ["Ru", "Ru", "Ru", "Pt", "W"], "frac_coords": [[0.000, 0.500, 0.500], [0.500, 0.000, 0.500], [0.500, 0.500, 0.000], [0.500, 0.500, 0.500], [0.000, 0.000, 0.000]], "space_group": "R-3m, No. 166"}

=====

Pick arrangement iii: it beats the second-best structure by 41.2 kJ/mol of atoms.

=====

Arrangement i

{"formula": "RuPt2W2", "functional": "PBE-GGA", "state": "relaxed", "lattice": [[3.821, -2.585, 0.000], [3.821, 2.585, 0.000], [-1.757, 0.000, 4.201]], "species": ["Ru", "Pt", "Pt", "W", "W"], "frac_coords": [[0.000, 0.000, 0.000], [0.258, 0.742, 0.500], [0.742, 0.258, 0.500], [0.318, 0.318, 0.909], [0.682, 0.682, 0.091]], "space_group": "C2/m, No. 12"}

=====

Arrangement ii

{"formula": "RuPt2W2", "functional": "PBE-GGA", "state": "relaxed", "lattice": [[2.113, -6.740, 0.000], [2.113, 6.740, 0.000], [0.000, 0.000, 5.473]], "species": ["Ru", "Ru", "Pt", "Pt", "Pt", "Pt", "W", "W", "W", "W"], "frac_coords": [[0.108, 0.892, 0.500], [0.892, 0.108, 0.000], [0.304, 0.696, 0.258], [0.496, 0.504, 0.768], [0.504, 0.496, 0.268], [0.696, 0.304, 0.758], [0.104, 0.896, 0.013], [0.305, 0.695, 0.760], [0.695, 0.305, 0.260], [0.896, 0.104, 0.513]], "space_group": "Cmc2_1, No. 36"}

=====

Pick arrangement ii: it beats the second-best structure by 23.5 kJ/mol of atoms.

=====

Arrangement i

{"formula": "RuPt4W", "functional": "PBE-GGA", "state": "relaxed", "lattice": [[0.000, 3.651, 3.651], [3.651, 0.000, 3.651], [3.651, 3.651, 0.000]], "species": ["Ru", "Pt", "Pt", "Pt", "Pt", "W"], "frac_coords": [[0.000, 0.000, 0.000], [0.375, 0.375, 0.375], [0.375, 0.375, 0.875], [0.375, 0.875, 0.375], [0.875, 0.375, 0.375], [0.750, 0.750, 0.750]], "space_group": "F-43m, No. 216"}

=====

Arrangement ii

{"formula": "RuPt4W", "functional": "PBE-GGA", "state": "relaxed", "lattice": [[2.418, -4.167, 0.000], [2.418, 4.167, 0.000], [-1.651, 0.000, 4.541]], "species": ["Ru", "Pt", "Pt", "Pt", "Pt", "W"], "frac_coords": [[0.000, 0.000, 0.000], [0.164, 0.836, 0.500], [0.337, 0.663, 0.000], [0.663, 0.337, 0.000], [0.836, 0.164, 0.500], [0.500, 0.500, 0.500]], "space_group": "C2/m, No. 12"}

=====

Pick arrangement ii: it beats the second-best structure by 51.6 kJ/mol of atoms.